#1
Rb2GaBr4: optimized geometry, PBE.

Summary:
DOS at the Fermi energy   3.16 states/eV/f.u.

a = 8.305 Å, b = 8.305 Å, c = 11.423 Å
α = 90.00°, β = 90.00°, γ = 90.00°
Space group I-42m (No. 121)
Inequivalent atoms, fractional coordinates:
Rb 0.000 0.500 0.250 x4
Ga 0.000 0.000 0.000 x2
Br 0.195 0.195 0.889 x8

#2
Rb2GaBr4: optimized geometry, PBE.

Summary:
DOS at the Fermi energy   2.23 states/eV/f.u.

a = 5.385 Å, b = 5.385 Å, c = 17.615 Å
α = 90.00°, β = 90.00°, γ = 90.00°
Space group I4/mmm (No. 139)
Inequivalent atoms, fractional coordinates:
Rb 0.000 0.000 0.143 x4
Ga 0.000 0.000 0.500 x2
Br 0.000 0.000 0.340 x4
Br 0.000 0.500 0.000 x4

Decreasing stability: #2, #1

#1
Rb3GaBr4: optimized geometry, PBE.

Summary:
DOS at the Fermi energy   0.00 states/eV/f.u.

a = 6.866 Å, b = 6.866 Å, c = 13.682 Å
α = 90.00°, β = 90.00°, γ = 90.00°
Space group I4/mmm (No. 139)
Inequivalent atoms, fractional coordinates:
Rb 0.000 0.000 0.000 x2
Rb 0.000 0.500 0.250 x4
Ga 0.000 0.000 0.500 x2
Br 0.000 0.000 0.268 x4
Br 0.000 0.500 0.000 x4

#2
Rb3GaBr4: optimized geometry, PBE.

Summary:
DOS at the Fermi energy   0.00 states/eV/f.u.

a = 11.741 Å, b = 9.857 Å, c = 6.909 Å
α = 90.00°, β = 90.00°, γ = 90.00°
Space group Pmn2_1 (No. 31)
Inequivalent atoms, fractional coordinates:
Rb 0.000 0.156 0.000 x2
Rb 0.246 0.329 0.500 x4
Ga 0.000 0.824 0.485 x2
Br 0.000 0.139 0.500 x2
Br 0.000 0.819 0.080 x2
Br 0.242 0.677 0.501 x4

Decreasing stability: #1, #2